Here is crystalline CdTcAs2P at its relaxed geometry from Alexandria. Energies are from PBE.

POSCAR file:
```
CdTcAs2P
1.0
4.6713 0.0000 0.0000
0.0000 5.3776 0.0000
0.0000 0.0000 4.6713
P As Tc Cd
1 2 1 1
Direct
0.5000 0.5000 0.5000
0.0000 0.0000 0.5000
0.5000 0.0000 0.0000
0.0000 0.0000 0.0000
0.0000 0.5000 0.0000
```

Results
The calculation puts the spin magnetization at 0.00 Bohr magnetons per cell. The energy relative to the elements comes out at 691 meV/atom.